Record 1
An optimized crystal structure of Ta5Hg. Source: Alexandria via LeMat-Bulk, functional PBE.

```
Ta5Hg
1.0
5.647 0.000 0.000
-2.824 4.891 0.000
0.000 0.000 4.535
Ta Hg
5 1
direct
0.000 0.500 0.000
0.333 0.667 0.500
0.500 0.000 0.000
0.500 0.500 0.000
0.667 0.333 0.500
0.000 0.000 0.500
```

Output
* VASP energy: -55.48 eV per formula unit
* calculated volume: 20.88 Å³/atom
* density: 14.652 Mg/m³
* density of states at the Fermi level: 6.85 states/eV per cell


Record 2
An optimized crystal structure of Ta5Hg. Source: Alexandria via LeMat-Bulk, functional PBE.

```
Ta5Hg
1.0
1.740 -6.801 0.000
1.740 6.801 0.000
0.000 0.000 4.700
Ta Hg
5 1
direct
0.000 0.000 0.000
0.171 0.829 0.500
0.334 0.666 0.000
0.666 0.334 0.000
0.829 0.171 0.500
0.500 0.500 0.500
```

Output
* VASP energy: -58.66 eV per formula unit
* calculated volume: 18.54 Å³/atom
* density: 16.500 Mg/m³
* density of states at the Fermi level: 5.56 states/eV per cell


Record 3
An optimized crystal structure of Ta3Hg. Source: Alexandria via LeMat-Bulk, functional PBE.

```
Ta3Hg
1.0
3.411 0.000 0.000
0.000 3.411 0.000
0.000 0.000 6.477
Ta Hg
3 1
direct
0.000 0.000 0.000
0.500 0.500 0.230
0.500 0.500 0.770
0.000 0.000 0.500
```

Output
* VASP energy: -35.22 eV per formula unit
* calculated volume: 18.84 Å³/atom
* density: 16.385 Mg/m³
* density of states at the Fermi level: 2.53 states/eV per cell


Record 4
An optimized crystal structure of Ta3Hg. Source: Alexandria via LeMat-Bulk, functional PBE.

```
Ta3Hg
1.0
2.957 0.000 0.000
-1.478 2.561 0.000
0.000 0.000 10.138
Ta Hg
3 1
direct
0.000 0.000 0.000
0.333 0.667 0.249
0.333 0.667 0.751
0.000 0.000 0.500
```

Output
* VASP energy: -34.52 eV per formula unit
* calculated volume: 19.19 Å³/atom
* density: 16.083 Mg/m³
* density of states at the Fermi level: 4.91 states/eV per cell


Record 5
An optimized crystal structure of Ta3Hg. Source: Alexandria via LeMat-Bulk, functional PBE.

```
Ta3Hg
1.0
4.899 0.000 0.000
0.000 5.923 0.000
0.000 0.000 5.207
Ta Hg
6 2
direct
0.250 0.001 0.153
0.250 0.250 0.691
0.250 0.499 0.153
0.750 0.501 0.847
0.750 0.750 0.309
0.750 0.999 0.847
0.250 0.750 0.650
0.750 0.250 0.350
```

Output
* VASP energy: -34.65 eV per formula unit
* calculated volume: 18.89 Å³/atom
* density: 16.339 Mg/m³
* density of states at the Fermi level: 6.58 states/eV per cell


Record 6
An optimized crystal structure of TaHg3. Source: Alexandria via LeMat-Bulk, functional PBE.

```
TaHg3
1.0
3.023 0.000 0.000
0.000 3.023 0.000
0.000 0.000 9.311
Ta Hg
1 3
direct
0.000 0.000 0.000
0.000 0.000 0.500
0.500 0.500 0.230
0.500 0.500 0.770
```

Output
* VASP energy: -11.25 eV per formula unit
* calculated volume: 21.27 Å³/atom
* density: 15.278 Mg/m³
* density of states at the Fermi level: 2.33 states/eV per cell


Record 7
An optimized crystal structure of Ta3Hg. Source: Alexandria via LeMat-Bulk, functional PBE.

```
Ta3Hg
1.0
0.000 3.344 3.344
3.344 0.000 3.344
3.344 3.344 0.000
Ta Hg
3 1
direct
0.000 0.000 0.000
0.250 0.250 0.250
0.750 0.750 0.750
0.500 0.500 0.500
```

Output
* VASP energy: -34.43 eV per formula unit
* calculated volume: 18.70 Å³/atom
* density: 16.501 Mg/m³
* density of states at the Fermi level: 4.24 states/eV per cell


Record 8
An optimized crystal structure of Ta5Hg. Source: Alexandria via LeMat-Bulk, functional PBE.

```
Ta5Hg
1.0
5.705 -1.396 0.000
5.705 1.396 0.000
-1.605 0.000 7.082
Ta Hg
5 1
direct
0.000 0.000 0.000
0.069 0.069 0.647
0.335 0.335 0.665
0.407 0.407 0.307
0.740 0.740 0.968
0.671 0.671 0.337
```

Output
* VASP energy: -57.92 eV per formula unit
* calculated volume: 18.79 Å³/atom
* density: 16.278 Mg/m³
* density of states at the Fermi level: 6.47 states/eV per cell


Record 9
An optimized crystal structure of Ta3Hg. Source: Alexandria via LeMat-Bulk, functional PBE.

```
Ta3Hg
1.0
1.720 -2.318 0.000
1.720 2.318 0.000
0.000 0.000 9.473
Ta Hg
3 1
direct
0.000 0.000 0.000
0.500 0.500 0.241
0.500 0.500 0.759
0.000 0.000 0.500
```

Output
* VASP energy: -35.25 eV per formula unit
* calculated volume: 18.89 Å³/atom
* density: 16.339 Mg/m³
* density of states at the Fermi level: 3.24 states/eV per cell


Record 10
An optimized crystal structure of Ta5Hg4. Source: Alexandria via LeMat-Bulk, functional PBE.

```
Ta5Hg4
1.0
8.341 0.000 0.000
-4.170 7.223 0.000
0.000 0.000 5.747
Ta Hg
10 8
direct
0.000 0.333 0.250
0.000 0.667 0.750
0.333 0.000 0.250
0.333 0.333 0.750
0.333 0.667 0.000
0.333 0.667 0.500
0.667 0.000 0.750
0.667 0.333 0.000
0.667 0.333 0.500
0.667 0.667 0.250
0.000 0.000 0.000
0.000 0.000 0.500
0.000 0.343 0.750
0.000 0.657 0.250
0.343 0.000 0.750
0.343 0.343 0.250
0.657 0.000 0.250
0.657 0.657 0.750
```

Output
* VASP energy: -56.18 eV per formula unit
* calculated volume: 19.24 Å³/atom
* density: 16.372 Mg/m³
* density of states at the Fermi level: 7.60 states/eV per cell


Record 11
An optimized crystal structure of Ta3Hg. Source: Alexandria via LeMat-Bulk, functional PBE.

```
Ta3Hg
1.0
1.483 0.856 10.096
-1.483 0.856 10.096
0.000 -1.712 10.096
Ta Hg
3 1
direct
0.000 0.000 0.000
0.251 0.251 0.251
0.749 0.749 0.749
0.500 0.500 0.500
```

Output
* VASP energy: -34.55 eV per formula unit
* calculated volume: 19.23 Å³/atom
* density: 16.052 Mg/m³
* density of states at the Fermi level: 3.89 states/eV per cell


Record 12
An optimized crystal structure of Ta3Hg. Source: Alexandria via LeMat-Bulk, functional PBE.

```
Ta3Hg
1.0
5.365 0.000 0.000
0.000 9.742 0.000
0.000 0.000 5.792
Ta Hg
12 4
direct
0.023 0.250 0.144
0.245 0.505 0.381
0.245 0.995 0.381
0.255 0.005 0.881
0.255 0.495 0.881
0.477 0.750 0.644
0.523 0.250 0.356
0.745 0.505 0.119
0.745 0.995 0.119
0.755 0.005 0.619
0.755 0.495 0.619
0.977 0.750 0.856
0.060 0.250 0.632
0.440 0.750 0.132
0.560 0.250 0.868
0.940 0.750 0.368
```

Output
* VASP energy: -34.59 eV per formula unit
* calculated volume: 18.92 Å³/atom
* density: 16.310 Mg/m³
* density of states at the Fermi level: 13.15 states/eV per cell